Entry 1:
The following is a meta-GGA SCAN calculation of CoRu at its PBEsol-relaxed geometry, from Alexandria.

It has space group Cmme (No. 67), with a = 2.678 Å, b = 4.357 Å, c = 8.467 Å, α = 90.00°, β = 90.00° and γ = 90.00°. Symmetry generates all atoms from Co at (0.000, 0.250, 0.115) and Ru at (0.000, 0.250, 0.633).

As for the total magnetization: 2.7 μB/f.u. The value obtained for the formation enthalpy at 0 K is 0.337 eV per atom.

---

Entry 2:
The following is a meta-GGA SCAN calculation of Sm2AlAg3 at its PBEsol-relaxed geometry, from Alexandria.

It has space group Cm (No. 8), with a = 10.441 Å, b = 4.604 Å, c = 7.061 Å, α = 90.00°, β = 130.31° and γ = 90.00°. Symmetry generates all atoms from Sm at (0.000, 0.000, 0.000), Sm at (0.087, 0.000, 0.592), Al at (0.215, 0.500, 0.406), Ag at (0.204, 0.500, 0.006), Ag at (0.369, 0.000, 0.575) and Ag at (0.393, 0.000, 0.187).

As for the total magnetization: 0.0 μB/f.u. The value obtained for the formation enthalpy at 0 K is -0.394 eV per atom.

---

Entry 3:
The following is a meta-GGA SCAN calculation of BeSi3Cl at its PBEsol-relaxed geometry, from Alexandria.

It has space group Pm-3m (No. 221), with a = 4.600 Å, b = 4.600 Å, c = 4.600 Å, α = 90.00°, β = 90.00° and γ = 90.00°. Symmetry generates all atoms from Be at (0.000, 0.000, 0.000), Si at (0.000, 0.500, 0.500) and Cl at (0.500, 0.500, 0.500).

The value obtained for the uncorrected formation energy is 1.69 eV per atom. As for the total magnetization: 0.0 μB/f.u.

---

Entry 4:
The following is a meta-GGA SCAN calculation of LiBe2W at its PBEsol-relaxed geometry, from Alexandria.

It has space group R-3m (No. 166, hexagonal axes), with a = 2.6537 Å, b = 2.6537 Å, c = 25.4609 Å, α = 90.00°, β = 90.00° and γ = 120.00°. Symmetry generates all atoms from Li at (0.0000, 0.0000, 0.0000), Be at (0.0000, 0.0000, 0.2478) and W at (0.0000, 0.0000, 0.5000).

The energy above the lowest structure with this stoichiometry is 3.87 kcal/mol of atoms. As for the total magnetization: 0.1 μB/f.u. The value obtained for the formation enthalpy at 0 K is 0.383 eV per atom.

---

Entry 5:
The following is a meta-GGA SCAN calculation of Ca2AlSb at its PBEsol-relaxed geometry, from Alexandria.

It has space group I-4m2 (No. 119), with a = 4.443 Å, b = 4.443 Å, c = 10.834 Å, α = 90.00°, β = 90.00° and γ = 90.00°. Symmetry generates all atoms from Ca at (0.000, 0.000, 0.000), Ca at (0.000, 0.500, 0.250), Al at (0.000, 0.500, 0.750) and Sb at (0.000, 0.000, 0.500).

The value obtained for the uncorrected formation energy is -0.42 eV per atom. As for the total magnetization: 0.4 μB/f.u.

---

Entry 6:
The following is a meta-GGA SCAN calculation of CrCoTe2 at its PBEsol-relaxed geometry, from Alexandria.

It has space group R-3m (No. 166, hexagonal axes), with a = 3.8812 Å, b = 3.8812 Å, c = 18.0369 Å, α = 90.00°, β = 90.00° and γ = 120.00°. Symmetry generates all atoms from Cr at (0.0000, 0.0000, 0.0000), Co at (0.0000, 0.0000, 0.5000) and Te at (0.0000, 0.0000, 0.2419).

The value obtained for the uncorrected formation energy is -0.17 eV per atom. The energy above the lowest structure with this stoichiometry is 0.00 kcal/mol of atoms. As for the total magnetization: 5.0 μB/f.u.

---

Entry 7:
The following is a meta-GGA SCAN calculation of ScPb at its PBEsol-relaxed geometry, from Alexandria.

It has space group Pnma (No. 62), with a = 5.981 Å, b = 5.265 Å, c = 5.984 Å, α = 90.00°, β = 90.00° and γ = 90.00°. Symmetry generates all atoms from Sc at (0.125, 0.250, 0.134) and Pb at (0.123, 0.250, 0.639).

As for the total magnetization: 0.0 μB/f.u. The value obtained for the formation enthalpy at 0 K is -0.535 eV per atom.

---

Entry 8:
The following is a meta-GGA SCAN calculation of SrLaNiAu2 at its PBEsol-relaxed geometry, from Alexandria.

It has space group P4/mmm (No. 123), with a = 5.535 Å, b = 5.535 Å, c = 4.815 Å, α = 90.00°, β = 90.00° and γ = 90.00°. Symmetry generates all atoms from Sr at (0.000, 0.000, 0.000), La at (0.500, 0.500, 0.500), Ni at (0.500, 0.500, 0.000) and Au at (0.000, 0.500, 0.500).

As for the total magnetization: 0.0 μB/f.u. The value obtained for the formation enthalpy at 0 K is -0.084 eV per atom.